3
Lattice="0.000 3.309 3.309 3.309 0.000 3.309 3.309 3.309 0.000" Properties=species:S:1:pos:R:3 comment="SrMoRu | the Alexandria database | GGA-PBE | optimized geometry" ef_ev_per_fu=6.8 total_energy_ev_per_cell=-15.001 pbc="T T T"
Sr 0.000 0.000 0.000
Mo 4.963 4.963 4.963
Ru 1.654 1.654 1.654